(1)
Computed, not measured: a relaxed Sb5As crystal at the GGA-PBE level of DFT.

abc: 6.2584 6.2584 7.7554
angles: 70.52 70.52 36.37
Closest atoms and distances in Å follow each position.
Sites, in units of the cell vectors:
1 Sb 0.6953 0.6953 0.7380  2 As 2.93, 2 Sb 3.19
2 Sb 0.0127 0.0127 0.3126  6 Sb 3.08-3.41, 1 As 3.13
3 Sb 0.4374 0.4374 0.6974  2 As 2.86, 1 Sb 3.19
4 Sb 0.2944 0.2944 0.3719  6 Sb 3.02-3.30
5 Sb 0.7217 0.7217 0.1337  5 Sb 3.02-3.19, 1 As 3.20
6 As 0.0052 0.0052 0.9129  6 Sb 2.86-3.20

Summary:
Its space group is Cm.

=====

(2)
Computed, not measured: a relaxed Sb5As crystal at the GGA-PBE level of DFT.

abc: 8.5351 8.5351 5.2304
angles: 90.00 90.00 153.76
Closest atoms and distances in Å follow each position.
Sites, in units of the cell vectors:
1 As 0.9679 0.0321 0.0000  2 Sb 2.75
2 Sb 0.4546 0.5454 0.5000  4 Sb 3.14-3.49, 4 As 3.26
3 Sb 0.1296 0.8704 0.5000  6 Sb 2.99-3.31
4 Sb 0.7669 0.2331 0.5000  4 Sb 2.99-3.12
5 Sb 0.6643 0.3357 0.0000  6 Sb 3.12-3.31
6 Sb 0.3501 0.6499 0.0000  2 As 2.75

Summary:
Its space group is Amm2.

=====

(3)
Computed, not measured: a relaxed Sb4As crystal at the GGA-PBE level of DFT.

abc: 5.3736 5.3736 5.3736
angles: 90.00 90.00 90.00
Closest atoms and distances in Å follow each position.
Sites, in units of the cell vectors:
1 Sb 0.0000 0.0000 0.0000  12 Sb 3.80
2 Sb 0.5000 0.0000 0.5000  2 As 2.69
3 Sb 0.5000 0.5000 0.0000  2 As 2.69
4 Sb 0.0000 0.5000 0.5000  2 As 2.69
5 As 0.5000 0.5000 0.5000  6 Sb 2.69

Summary:
Its space group is Pm-3m.

=====

| no. | uncorrected formation energy (eV/f.u.) | electronic total energy (eV/cell) | magnetic moment (μB/cell) |
| --- | --- | --- | --- |
| 1 | 1.16 | -24.10 | 0.00 |
| 2 | 1.50 | -23.76 | 0.00 |
| 3 | 3.39 | -17.75 | 0.00 |